w | The following is a DFT calculation (GGA-PBE) of a relaxed CaFeW2 crystal.

a = 5.4179 Å, b = 9.8535 Å, c = 2.6958 Å
α = 90.00°, β = 109.07°, γ = 90.00°
With the nearest neighbours (Å) after each atom.
Fractional positions:
Ca (0.0000, 0.0000, 0.0000)  2 Ca 2.70, 2 Fe 2.71, 4 W 2.92
Ca (0.5000, 0.5000, 0.0000)  2 Ca 2.70, 2 Fe 2.71, 4 W 2.92
Fe (0.0000, 0.5000, 0.0000)  2 Fe 2.70, 2 Ca 2.71, 4 W 2.92
Fe (0.5000, 0.0000, 0.0000)  2 Fe 2.70, 2 Ca 2.71, 4 W 2.92
W (0.2500, 0.2500, 0.5000)  4 W 2.70-2.71, 2 Fe 2.92, 2 Ca 2.92
W (0.2500, 0.7500, 0.5000)  4 W 2.70-2.71, 2 Fe 2.92, 2 Ca 2.92
W (0.7500, 0.2500, 0.5000)  4 W 2.70-2.71, 2 Fe 2.92, 2 Ca 2.92
W (0.7500, 0.7500, 0.5000)  4 W 2.70-2.71, 2 Fe 2.92, 2 Ca 2.92

**D(E_F)**: 7.983 states/eV/cell
**Symmetry**: No. 12

=====

x | The following is a DFT calculation (GGA-PBE) of a relaxed CaFeW2 crystal.

a = 4.9035 Å, b = 4.9035 Å, c = 16.2756 Å
α = 90.00°, β = 90.00°, γ = 90.00°
With the nearest neighbours (Å) after each atom.
Fractional positions:
Ca (0.0000, 0.0000, 0.0000)  8 W 3.39-3.43, 4 Fe 3.47
Ca (0.0000, 0.5000, 0.2500)  8 W 3.39-3.43, 4 Fe 3.47
Ca (0.5000, 0.0000, 0.7500)  8 W 3.39-3.43, 4 Fe 3.47
Ca (0.5000, 0.5000, 0.5000)  8 W 3.39-3.43, 4 Fe 3.47
Fe (0.0000, 0.0000, 0.5000)  4 W 2.38
Fe (0.0000, 0.5000, 0.7500)  4 W 2.38
Fe (0.5000, 0.0000, 0.2500)  4 W 2.38
Fe (0.5000, 0.5000, 0.0000)  4 W 2.38
W (0.0058, 0.2500, 0.6250)  2 Fe 2.38, 2 W 2.45
W (0.2500, 0.5058, 0.8750)  2 Fe 2.38, 2 W 2.45
W (0.2500, 0.9942, 0.3750)  2 Fe 2.38, 2 W 2.45
W (0.4942, 0.2500, 0.1250)  2 Fe 2.38, 2 W 2.45
W (0.5058, 0.7500, 0.1250)  2 Fe 2.38, 2 W 2.45
W (0.7500, 0.0058, 0.3750)  2 Fe 2.38, 2 W 2.45
W (0.7500, 0.4942, 0.8750)  2 Fe 2.38, 2 W 2.45
W (0.9942, 0.7500, 0.6250)  2 Fe 2.38, 2 W 2.45

**D(E_F)**: 21.684 states/eV/cell
**Symmetry**: No. 122

=====

Q: What are the energies relative to the best structure? A: w 0; x 591, in meV per atom.

=====

w | The following is a DFT calculation (GGA-PBE) of a relaxed CaFeW3 crystal.

a = 4.5952 Å, b = 4.5952 Å, c = 4.5952 Å
α = 90.00°, β = 90.00°, γ = 90.00°
With the nearest neighbours (Å) after each atom.
Fractional positions:
Ca (0.0000, 0.0000, 0.0000)  12 W 3.25
Fe (0.5000, 0.5000, 0.5000)  6 W 2.30
W (0.0000, 0.5000, 0.5000)  2 Fe 2.30
W (0.5000, 0.0000, 0.5000)  2 Fe 2.30
W (0.5000, 0.5000, 0.0000)  2 Fe 2.30

**D(E_F)**: 5.845 states/eV/cell
**Symmetry**: No. 221

=====

x | The following is a DFT calculation (GGA-PBE) of a relaxed CaFeW3 crystal.

a = 4.5243 Å, b = 4.5243 Å, c = 4.5243 Å
α = 90.00°, β = 90.00°, γ = 90.00°
With the nearest neighbours (Å) after each atom.
Fractional positions:
Ca (0.0000, 0.0000, 0.0000)  6 W 2.26
Fe (0.5000, 0.5000, 0.5000)  12 W 3.20
W (0.0000, 0.0000, 0.5000)  2 Ca 2.26
W (0.0000, 0.5000, 0.0000)  2 Ca 2.26
W (0.5000, 0.0000, 0.0000)  2 Ca 2.26

**D(E_F)**: 18.875 states/eV/cell
**Symmetry**: No. 221

=====

Q: What are the energies relative to the best structure? A: w 0; x 2278, in meV per atom.

=====

w | The following is a DFT calculation (GGA-PBE) of a relaxed CaFeW crystal.

a = 6.1088 Å, b = 6.1088 Å, c = 6.1088 Å
α = 90.00°, β = 90.00°, γ = 90.00°
With the nearest neighbours (Å) after each atom.
Fractional positions:
Ca (0.0000, 0.0000, 0.0000)  4 Fe 2.65
Ca (0.0000, 0.5000, 0.5000)  4 Fe 2.65
Ca (0.5000, 0.0000, 0.5000)  4 Fe 2.65
Ca (0.5000, 0.5000, 0.0000)  4 Fe 2.65
Fe (0.2500, 0.2500, 0.7500)  4 W 2.65, 4 Ca 2.65
Fe (0.2500, 0.7500, 0.2500)  4 W 2.65, 4 Ca 2.65
Fe (0.7500, 0.2500, 0.2500)  4 W 2.65, 4 Ca 2.65
Fe (0.7500, 0.7500, 0.7500)  4 W 2.65, 4 Ca 2.65
W (0.0000, 0.0000, 0.5000)  4 Fe 2.65
W (0.0000, 0.5000, 0.0000)  4 Fe 2.65
W (0.5000, 0.0000, 0.0000)  4 Fe 2.65
W (0.5000, 0.5000, 0.5000)  4 Fe 2.65

**D(E_F)**: 20.103 states/eV/cell
**Symmetry**: No. 216

=====

x | The following is a DFT calculation (GGA-PBE) of a relaxed CaFeW crystal.

a = 4.6589 Å, b = 4.6589 Å, c = 2.7968 Å
α = 90.00°, β = 90.00°, γ = 120.00°
With the nearest neighbours (Å) after each atom.
Fractional positions:
Ca (0.0000, 0.0000, 0.0000)  2 Ca 2.80, 3 Fe 2.91, 3 W 2.93
Fe (0.6667, 0.3333, 0.3964)  3 W 2.74, 2 Fe 2.80, 3 Ca 2.91
W (0.3333, 0.6667, 0.5851)  3 Fe 2.74, 2 W 2.80, 3 Ca 2.93

**D(E_F)**: 3.693 states/eV/cell
**Symmetry**: No. 156

=====

y | The following is a DFT calculation (GGA-PBE) of a relaxed CaFeW crystal.

a = 3.2847 Å, b = 3.2847 Å, c = 6.5705 Å
α = 90.00°, β = 90.00°, γ = 120.00°
With the nearest neighbours (Å) after each atom.
Fractional positions:
Ca (0.0000, 0.0000, 0.0000)  3 Fe 3.07, 6 Ca 3.28, 3 W 3.43
Fe (0.6667, 0.3333, 0.3666)  3 W 2.30
W (0.3333, 0.6667, 0.5652)  3 Fe 2.30

**D(E_F)**: 2.799 states/eV/cell
**Symmetry**: No. 156

=====

z | The following is a DFT calculation (GGA-PBE) of a relaxed CaFeW crystal.

a = 3.1329 Å, b = 3.1329 Å, c = 11.6337 Å
α = 90.00°, β = 90.00°, γ = 90.00°
With the nearest neighbours (Å) after each atom.
Fractional positions:
Ca (0.0000, 0.0000, 0.0000)  4 Ca 3.13, 5 Fe 3.21-3.50, 5 W 3.33
Ca (0.5000, 0.5000, 0.5000)  4 Ca 3.13, 5 Fe 3.21-3.50, 5 W 3.33
Fe (0.0000, 0.0000, 0.3007)  4 W 2.44
Fe (0.5000, 0.5000, 0.8007)  4 W 2.44
W (0.0000, 0.0000, 0.7137)  4 Fe 2.44
W (0.5000, 0.5000, 0.2137)  4 Fe 2.44

**D(E_F)**: 7.654 states/eV/cell
**Symmetry**: No. 107

=====

Q: What are the energies relative to the best structure? A: w 592; x 406; y 279; z 0, in meV per atom.

=====

w | The following is a DFT calculation (GGA-PBE) of a relaxed CaY2Fe crystal.

a = 7.5441 Å, b = 7.5441 Å, c = 7.5441 Å
α = 90.00°, β = 90.00°, γ = 90.00°
With the nearest neighbours (Å) after each atom.
Fractional positions:
Ca (0.0000, 0.0000, 0.0000)  4 Fe 3.27, 4 Y 3.27
Ca (0.0000, 0.5000, 0.5000)  4 Fe 3.27, 4 Y 3.27
Ca (0.5000, 0.0000, 0.5000)  4 Fe 3.27, 4 Y 3.27
Ca (0.5000, 0.5000, 0.0000)  4 Fe 3.27, 4 Y 3.27
Y (0.0000, 0.0000, 0.5000)  4 Fe 3.27, 4 Y 3.27
Y (0.0000, 0.5000, 0.0000)  4 Fe 3.27, 4 Y 3.27
Y (0.2500, 0.2500, 0.2500)  4 Y 3.27, 4 Ca 3.27
Y (0.2500, 0.7500, 0.7500)  4 Y 3.27, 4 Ca 3.27
Y (0.5000, 0.0000, 0.0000)  4 Fe 3.27, 4 Y 3.27
Y (0.5000, 0.5000, 0.5000)  4 Fe 3.27, 4 Y 3.27
Y (0.7500, 0.2500, 0.7500)  4 Y 3.27, 4 Ca 3.27
Y (0.7500, 0.7500, 0.2500)  4 Y 3.27, 4 Ca 3.27
Fe (0.2500, 0.2500, 0.7500)  4 Ca 3.27, 4 Y 3.27
Fe (0.2500, 0.7500, 0.2500)  4 Ca 3.27, 4 Y 3.27
Fe (0.7500, 0.2500, 0.2500)  4 Ca 3.27, 4 Y 3.27
Fe (0.7500, 0.7500, 0.7500)  4 Ca 3.27, 4 Y 3.27

**D(E_F)**: 38.513 states/eV/cell
**Symmetry**: No. 216

=====

x | The following is a DFT calculation (GGA-PBE) of a relaxed CaY2Fe crystal.

a = 4.6360 Å, b = 4.6360 Å, c = 10.1066 Å
α = 90.00°, β = 90.00°, γ = 90.00°
With the nearest neighbours (Å) after each atom.
Fractional positions:
Ca (0.0000, 0.0000, 0.0000)  8 Y 3.28-3.43, 4 Fe 3.43
Ca (0.5000, 0.5000, 0.5000)  8 Y 3.28-3.43, 4 Fe 3.43
Y (0.0000, 0.0000, 0.5000)  4 Ca 3.28, 4 Fe 3.43, 4 Y 3.43
Y (0.0000, 0.5000, 0.2500)  4 Fe 3.28, 4 Ca 3.43, 4 Y 3.43
Y (0.5000, 0.0000, 0.7500)  4 Fe 3.28, 4 Ca 3.43, 4 Y 3.43
Y (0.5000, 0.5000, 0.0000)  4 Ca 3.28, 4 Fe 3.43, 4 Y 3.43
Fe (0.0000, 0.5000, 0.7500)  8 Y 3.28-3.43, 4 Ca 3.43
Fe (0.5000, 0.0000, 0.2500)  8 Y 3.28-3.43, 4 Ca 3.43

**D(E_F)**: 12.917 states/eV/cell
**Symmetry**: No. 119

=====

y | The following is a DFT calculation (GGA-PBE) of a relaxed CaY2Fe crystal.

a = 7.6005 Å, b = 7.6005 Å, c = 10.7649 Å
α = 90.00°, β = 90.00°, γ = 90.00°
With the nearest neighbours (Å) after each atom.
Fractional positions:
Ca (0.0000, 0.2500, 0.3750)  12 Y 4.46, 4 Fe 4.66, 4 Ca 4.66
Ca (0.0000, 0.7500, 0.6250)  12 Y 4.46, 4 Fe 4.66, 4 Ca 4.66
Ca (0.5000, 0.2500, 0.1250)  12 Y 4.46, 4 Fe 4.66, 4 Ca 4.66
Ca (0.5000, 0.7500, 0.8750)  12 Y 4.46, 4 Fe 4.66, 4 Ca 4.66
Y (0.0000, 0.0000, 0.0000)  2 Fe 2.33
Y (0.0000, 0.5000, 0.0000)  2 Fe 2.33
Y (0.2500, 0.2500, 0.7500)  2 Fe 2.33
Y (0.2500, 0.7500, 0.2500)  2 Fe 2.33
Y (0.5000, 0.0000, 0.5000)  2 Fe 2.33
Y (0.5000, 0.5000, 0.5000)  2 Fe 2.33
Y (0.7500, 0.2500, 0.7500)  2 Fe 2.33
Y (0.7500, 0.7500, 0.2500)  2 Fe 2.33
Fe (0.0000, 0.2500, 0.8750)  4 Y 2.33
Fe (0.0000, 0.7500, 0.1250)  4 Y 2.33
Fe (0.5000, 0.2500, 0.6250)  4 Y 2.33
Fe (0.5000, 0.7500, 0.3750)  4 Y 2.33

**D(E_F)**: 17.198 states/eV/cell
**Symmetry**: No. 141

=====

z | The following is a DFT calculation (GGA-PBE) of a relaxed CaY2Fe crystal.

a = 6.5721 Å, b = 10.8625 Å, c = 3.3923 Å
α = 90.00°, β = 113.99°, γ = 90.00°
With the nearest neighbours (Å) after each atom.
Fractional positions:
Ca (0.0000, 0.0000, 0.0000)  4 Y 3.27, 4 Fe 3.29-3.64, 2 Ca 3.39
Ca (0.5000, 0.5000, 0.0000)  4 Y 3.27, 4 Fe 3.29-3.64, 2 Ca 3.39
Y (0.2500, 0.2500, 0.5000)  2 Fe 3.27, 2 Ca 3.27, 6 Y 3.29-3.64
Y (0.2500, 0.7500, 0.5000)  2 Fe 3.27, 2 Ca 3.27, 6 Y 3.29-3.64
Y (0.7500, 0.2500, 0.5000)  2 Fe 3.27, 2 Ca 3.27, 6 Y 3.29-3.64
Y (0.7500, 0.7500, 0.5000)  2 Fe 3.27, 2 Ca 3.27, 6 Y 3.29-3.64
Fe (0.0000, 0.5000, 0.0000)  4 Y 3.27, 4 Ca 3.29-3.64, 2 Fe 3.39
Fe (0.5000, 0.0000, 0.0000)  4 Y 3.27, 4 Ca 3.29-3.64, 2 Fe 3.39

**D(E_F)**: 15.841 states/eV/cell
**Symmetry**: No. 12

=====

Q: What are the energies relative to the best structure? A: w 67; x 0; y 220; z 89, in meV per atom.

=====

w | The following is a DFT calculation (GGA-PBE) of a relaxed CaZr2Fe crystal.

a = 6.5471 Å, b = 6.5471 Å, c = 12.4416 Å
α = 90.00°, β = 90.00°, γ = 90.00°
With the nearest neighbours (Å) after each atom.
Fractional positions:
Ca (0.0000, 0.2500, 0.3750)  8 Zr 3.98
Ca (0.0000, 0.7500, 0.6250)  8 Zr 3.98
Ca (0.5000, 0.2500, 0.1250)  8 Zr 3.98
Ca (0.5000, 0.7500, 0.8750)  8 Zr 3.98
Zr (0.0000, 0.0000, 0.0000)  2 Fe 2.26
Zr (0.0000, 0.5000, 0.0000)  2 Fe 2.26
Zr (0.2500, 0.2500, 0.7500)  2 Fe 2.26
Zr (0.2500, 0.7500, 0.2500)  2 Fe 2.26
Zr (0.5000, 0.0000, 0.5000)  2 Fe 2.26
Zr (0.5000, 0.5000, 0.5000)  2 Fe 2.26
Zr (0.7500, 0.2500, 0.7500)  2 Fe 2.26
Zr (0.7500, 0.7500, 0.2500)  2 Fe 2.26
Fe (0.0000, 0.2500, 0.8750)  4 Zr 2.26
Fe (0.0000, 0.7500, 0.1250)  4 Zr 2.26
Fe (0.5000, 0.2500, 0.6250)  4 Zr 2.26
Fe (0.5000, 0.7500, 0.3750)  4 Zr 2.26

**D(E_F)**: 21.125 states/eV/cell
**Symmetry**: No. 141

=====

x | The following is a DFT calculation (GGA-PBE) of a relaxed CaZr2Fe crystal.

a = 3.3524 Å, b = 3.3524 Å, c = 8.1686 Å
α = 90.00°, β = 90.00°, γ = 90.00°
With the nearest neighbours (Å) after each atom.
Fractional positions:
Ca (0.0000, 0.0000, 0.0000)  4 Fe 3.16, 1 Zr 3.31, 4 Ca 3.35
Zr (0.0000, 0.0000, 0.4052)  4 Fe 2.67
Zr (0.5000, 0.5000, 0.6538)  8 Zr 3.12-3.35, 1 Fe 3.26
Fe (0.5000, 0.5000, 0.2551)  4 Zr 2.67

**D(E_F)**: 6.224 states/eV/cell
**Symmetry**: No. 99

=====

Q: What are the energies relative to the best structure? A: w 805; x 0, in meV per atom.